DFT (PBE) results for an optimized crystal structure of ThTlSe2.

```
ThTlSe2
1.0
4.1411 0.0000 0.0000
-2.0705 3.5863 0.0000
0.0000 0.0000 25.3092
Th Tl Se
3 3 6
Direct
0.0000 0.0000 0.0000 Th
0.3333 0.6667 0.6667 Th
0.6667 0.3333 0.3333 Th
0.0000 0.0000 0.8357 Tl
0.3333 0.6667 0.5023 Tl
0.6667 0.3333 0.1690 Tl
0.0000 0.0000 0.4028 Se
0.0000 0.0000 0.5972 Se
0.3333 0.6667 0.0695 Se
0.3333 0.6667 0.2638 Se
0.6667 0.3333 0.7362 Se
0.6667 0.3333 0.9305 Se
```

Properties
* space-group type: No. 160
* E_form (uncorrected): -4.7 eV per formula unit

DFT (PBE) results for an optimized crystal structure of In2TeAs.

```
In2TeAs
1.0
3.8665 0.0000 0.0000
0.0000 4.8664 0.0000
0.0000 0.0000 11.4572
In Te As
4 2 2
Direct
0.0000 0.0000 0.2142 In
0.0000 0.0000 0.7858 In
0.5000 0.5000 0.2142 In
0.5000 0.5000 0.7858 In
0.0000 0.5000 0.5000 Te
0.5000 0.0000 0.5000 Te
0.0000 0.5000 0.0000 As
0.5000 0.0000 0.0000 As
```

Properties
* space-group type: No. 65
* E_form (uncorrected): 0.4 eV per formula unit
* excess energy over the best structure of this formula in the dataset: 1.08 eV/f.u.

DFT (PBE) results for an optimized crystal structure of K2IF.

```
K2IF
1.0
7.9329 0.0000 0.0000
0.0000 7.9329 0.0000
0.0000 0.0000 7.9329
K I F
8 4 4
Direct
0.2500 0.2500 0.2500 K
0.2500 0.2500 0.7500 K
0.2500 0.7500 0.2500 K
0.2500 0.7500 0.7500 K
0.7500 0.2500 0.2500 K
0.7500 0.2500 0.7500 K
0.7500 0.7500 0.2500 K
0.7500 0.7500 0.7500 K
0.0000 0.0000 0.0000 I
0.0000 0.5000 0.5000 I
0.5000 0.0000 0.5000 I
0.5000 0.5000 0.0000 I
0.0000 0.0000 0.5000 F
0.0000 0.5000 0.0000 F
0.5000 0.0000 0.0000 F
0.5000 0.5000 0.5000 F
```

Properties
* space-group type: No. 225
* E_form (uncorrected): -7.2 eV per formula unit
* excess energy over the best structure of this formula in the dataset: 1.14 eV/f.u.

DFT (PBE) results for an optimized crystal structure of LaMn3Ni.

```
LaMn3Ni
1.0
4.6352 0.0000 0.0000
0.0000 4.6352 0.0000
0.0000 0.0000 4.6352
La Mn Ni
1 3 1
Direct
0.0000 0.0000 0.0000 La
0.0000 0.5000 0.5000 Mn
0.5000 0.0000 0.5000 Mn
0.5000 0.5000 0.0000 Mn
0.5000 0.5000 0.5000 Ni
```

Properties
* formation enthalpy at 0 K: 1.989 eV/f.u.
* space-group type: No. 221
* excess energy over the best structure of this formula in the dataset: 0.00 eV/f.u.

no.,density (Mg/m³)
1,7.88
2,6.66
3,2.98
4,6.04